(1)
Nd3Sm7Y: relaxed, PBE-GGA.

Summary:
Space group: C2/m, No. 12
Fermi-level density of states: 1.426 states/eV per atom
ΔH_f (0 K): 0.227 eV per atom
Calculated volume: 390 Å³/cell

Cell lengths 6.498, 7.804, 7.804 Å; angles 81.72, 86.29, 86.29 degrees
Atoms (fractional coordinates):
1 Sm 0.739 0.915 0.572
2 Sm 0.739 0.572 0.915
3 Sm 0.213 0.761 0.761
4 Sm 0.787 0.239 0.239
5 Sm 0.261 0.428 0.085
6 Sm 0.000 0.500 0.500
7 Sm 0.261 0.085 0.428
8 Nd 0.500 0.000 0.000
9 Nd 0.000 0.173 0.827
10 Nd 0.000 0.827 0.173
11 Y 0.500 0.500 0.500

(2)
LaPrTl2: relaxed, PBE-GGA.

Summary:
Space group: Fm-3m, No. 225
Fermi-level density of states: 0.871 states/eV per atom
ΔH_f (0 K): -0.408 eV per atom
Calculated volume: 124 Å³/cell

Cell lengths 5.602, 5.602, 5.602 Å; angles 60.00, 60.00, 60.00 degrees
Atoms (fractional coordinates):
1 Tl 0.750 0.750 0.750
2 Tl 0.250 0.250 0.250
3 Pr 0.000 0.000 0.000
4 La 0.500 0.500 0.500

(3)
Tm4GePbN: relaxed, PBE-GGA.

Summary:
Space group: Cmcm, No. 63
Fermi-level density of states: 0.566 states/eV per atom
Calculated volume: 326 Å³/cell
ΔE_f (raw): -0.910 eV/atom

Cell lengths 6.488, 6.494, 8.386 Å; angles 90.00, 112.76, 90.00 degrees
Atoms (fractional coordinates):
1 Pb 0.604 0.750 0.207
2 Pb 0.396 0.250 0.793
3 Tm 0.917 0.250 0.835
4 Tm 0.593 0.250 0.187
5 Tm 0.000 0.500 0.500
6 Tm 0.083 0.750 0.165
7 Tm 0.500 0.500 0.500
8 Tm 0.500 0.000 0.500
9 Tm 0.000 0.000 0.500
10 Tm 0.407 0.750 0.813
11 Ge 0.887 0.750 0.773
12 Ge 0.113 0.250 0.227
13 N 0.751 0.250 0.502
14 N 0.249 0.750 0.498

(4)
SmScV4: relaxed, PBE-GGA.

Summary:
Space group: F-43m, No. 216
Fermi-level density of states: 2.111 states/eV per atom
ΔH_f (0 K): 0.324 eV per atom
Calculated volume: 106 Å³/cell

Cell lengths 5.308, 5.308, 5.308 Å; angles 60.00, 60.00, 60.00 degrees
Atoms (fractional coordinates):
1 V 0.627 0.627 0.627
2 V 0.120 0.627 0.627
3 V 0.627 0.627 0.120
4 V 0.627 0.120 0.627
5 Sm 0.250 0.250 0.250
6 Sc 0.000 0.000 0.000

(5)
Ac2Zn9Ag6: relaxed, PBE-GGA.

Summary:
Space group: P6/mmm, No. 191
Fermi-level density of states: 0.455 states/eV per atom
ΔH_f (0 K): -0.101 eV per atom
Calculated volume: 363 Å³/cell

Cell lengths 5.597, 5.597, 13.386 Å; angles 90.00, 90.00, 120.00 degrees
Atoms (fractional coordinates):
1 Zn 0.500 0.000 0.161
2 Zn 0.000 0.500 0.839
3 Zn 0.000 0.500 0.161
4 Zn 0.500 0.000 0.839
5 Zn 0.500 0.500 0.500
6 Zn 0.500 0.000 0.500
7 Zn 0.500 0.500 0.839
8 Zn 0.500 0.500 0.161
9 Zn 0.000 0.500 0.500
10 Ag 0.667 0.333 0.329
11 Ag 0.667 0.333 0.671
12 Ag 0.333 0.667 0.329
13 Ag 0.333 0.667 0.000
14 Ag 0.667 0.333 0.000
15 Ag 0.333 0.667 0.671
16 Ac 0.000 0.000 0.338
17 Ac 0.000 0.000 0.662

(6)
BaTaRh: relaxed, PBE-GGA.

Summary:
Space group: F-43m, No. 216
Fermi-level density of states: 1.383 states/eV per atom
ΔH_f (0 K): 0.957 eV per atom
Calculated volume: 81 Å³/cell

Cell lengths 4.854, 4.854, 4.854 Å; angles 60.00, 60.00, 60.00 degrees
Site moments in Bohr magnetons follow the coordinates.
Atoms (fractional coordinates):
1 Ba 0.500 0.500 0.500  0.09
2 Rh 0.250 0.250 0.250  -0.05
3 Ta 0.000 0.000 0.000  0.85

(7)
Hg2Ge2Mo: relaxed, PBE-GGA.

Summary:
Space group: I4/mmm, No. 139
Fermi-level density of states: 0.379 states/eV per atom
ΔH_f (0 K): 0.704 eV per atom
Calculated volume: 118 Å³/cell

Cell lengths 3.715, 3.715, 8.926 Å; angles 77.99, 77.99, 90.00 degrees
Site moments in Bohr magnetons follow the coordinates.
Atoms (fractional coordinates):
1 Mo 0.000 0.000 0.000  1.28
2 Hg 0.750 0.250 0.500  0.01
3 Hg 0.250 0.750 0.500  0.01
4 Ge 0.425 0.425 0.150  -0.03
5 Ge 0.575 0.575 0.850  -0.03

(8)
Pm2Hg5Au: relaxed, PBE-GGA.

Summary:
Space group: R-3m, No. 166
Fermi-level density of states: 0.489 states/eV per atom
ΔH_f (0 K): -0.283 eV per atom
Calculated volume: 217 Å³/cell

Cell lengths 4.812, 4.812, 11.170 Å; angles 77.56, 77.56, 60.00 degrees
Atoms (fractional coordinates):
1 Au 0.000 0.000 0.000
2 Hg 0.200 0.200 0.399
3 Hg 0.800 0.800 0.601
4 Hg 0.370 0.370 0.889
5 Hg 0.630 0.630 0.111
6 Hg 0.500 0.500 0.500
7 Pm 0.907 0.907 0.279
8 Pm 0.093 0.093 0.721

(9)
CeEr2Pb: relaxed, PBE-GGA.

Summary:
Space group: R3m, No. 160
Fermi-level density of states: 1.673 states/eV per atom
ΔH_f (0 K): -0.103 eV per atom
Calculated volume: 119 Å³/cell

Cell lengths 3.528, 3.528, 11.186 Å; angles 80.93, 80.93, 60.00 degrees
Site moments in Bohr magnetons follow the coordinates.
Atoms (fractional coordinates):
1 Ce 0.500 0.500 0.501  0.76
2 Er 0.253 0.253 0.240  0.04
3 Er 0.080 0.080 0.760  0.05
4 Pb 0.667 0.667 0.000  -0.01

(10)
GeBiSe3: relaxed, PBE-GGA.

Summary:
Space group: Pm-3m, No. 221
Fermi-level density of states: 0.552 states/eV per atom
Calculated volume: 126 Å³/cell
ΔE_f (raw): 0.185 eV/atom

Cell lengths 5.016, 5.016, 5.016 Å; angles 90.00, 90.00, 90.00 degrees
Atoms (fractional coordinates):
1 Se 0.000 0.500 0.000
2 Se 0.000 0.000 0.500
3 Se 0.500 0.000 0.000
4 Ge 0.000 0.000 0.000
5 Bi 0.500 0.500 0.500

(11)
Th2CdNi4Ge3: relaxed, PBE-GGA.

Summary:
Space group: P-4m2, No. 115
Fermi-level density of states: 0.747 states/eV per atom
ΔH_f (0 K): -0.583 eV per atom
Calculated volume: 176 Å³/cell

Cell lengths 4.204, 4.204, 9.949 Å; angles 90.00, 90.00, 90.00 degrees
Atoms (fractional coordinates):
1 Ge 0.500 0.000 0.877
2 Ge 0.000 0.500 0.123
3 Ge 0.000 0.000 0.500
4 Ni 0.500 0.500 0.000
5 Ni 0.000 0.500 0.357
6 Ni 0.000 0.000 0.000
7 Ni 0.500 0.000 0.643
8 Th 0.500 0.000 0.233
9 Th 0.000 0.500 0.767
10 Cd 0.500 0.500 0.500

(12)
Br2Cl: relaxed, PBE-GGA.

Summary:
Space group: Immm, No. 71
Fermi-level density of states: 1.847 states/eV per atom
Calculated volume: 75 Å³/cell
ΔE_f (raw): 0.704 eV/atom

Cell lengths 5.906, 5.906, 5.906 Å; angles 144.66, 140.79, 53.80 degrees
Atoms (fractional coordinates):
1 Cl 0.000 0.000 0.000
2 Br 0.322 0.322 0.000
3 Br 0.678 0.678 0.000

(13)
NdSc2Au3: relaxed, PBE-GGA.

Summary:
Space group: P4/mmm, No. 123
Fermi-level density of states: 0.487 states/eV per atom
ΔH_f (0 K): -0.789 eV per atom
Calculated volume: 129 Å³/cell

Cell lengths 3.473, 3.473, 10.690 Å; angles 90.00, 90.00, 90.00 degrees
Atoms (fractional coordinates):
1 Sc 0.500 0.500 0.157
2 Sc 0.500 0.500 0.843
3 Au 0.000 0.000 0.300
4 Au 0.000 0.000 0.000
5 Au 0.000 0.000 0.700
6 Nd 0.500 0.500 0.500

(14)
BaIO6: relaxed, PBE-GGA.

Summary:
Space group: C2/m, No. 12
Fermi-level density of states: 0.316 states/eV per atom
Calculated volume: 126 Å³/cell
ΔE_f (raw): -0.602 eV/atom

Cell lengths 5.053, 5.053, 5.068 Å; angles 82.90, 82.90, 97.01 degrees
Site moments in Bohr magnetons follow the coordinates.
Atoms (fractional coordinates):
1 O 0.737 0.737 0.920  0.43
2 O 0.736 0.079 0.263  0.43
3 O 0.263 0.263 0.080  0.43
4 O 0.264 0.921 0.737  0.43
5 O 0.079 0.736 0.263  0.43
6 O 0.921 0.264 0.737  0.43
7 I 0.000 0.000 0.000  -0.07
8 Ba 0.500 0.500 0.500  0.00

(15)
TmSn2As2Pd7: relaxed, PBE-GGA.

Summary:
Space group: C2/m, No. 12
Fermi-level density of states: 0.367 states/eV per atom
ΔH_f (0 K): -0.512 eV per atom
Calculated volume: 235 Å³/cell

Cell lengths 4.000, 4.000, 14.764 Å; angles 86.48, 86.48, 90.43 degrees
Atoms (fractional coordinates):
1 Sn 0.871 0.871 0.411
2 Sn 0.129 0.129 0.589
3 Pd 0.965 0.466 0.145
4 Pd 0.534 0.035 0.855
5 Pd 0.613 0.613 0.586
6 Pd 0.500 0.500 0.000
7 Pd 0.387 0.387 0.414
8 Pd 0.466 0.965 0.145
9 Pd 0.035 0.534 0.855
10 As 0.442 0.442 0.245
11 As 0.558 0.558 0.755
12 Tm 0.000 0.000 0.000

(16)
RbMoN2: relaxed, PBE-GGA.

Summary:
Space group: Fm-3m, No. 225
Fermi-level density of states: 0.320 states/eV per atom
Calculated volume: 54 Å³/cell
ΔE_f (raw): 1.821 eV/atom

Cell lengths 4.250, 4.250, 4.250 Å; angles 60.00, 60.00, 60.00 degrees
Site moments in Bohr magnetons follow the coordinates.
Atoms (fractional coordinates):
1 N 0.250 0.250 0.250  -0.54
2 N 0.750 0.750 0.750  -0.54
3 Rb 0.000 0.000 0.000  0.03
4 Mo 0.500 0.500 0.500  2.20

(17)
InGa2Bi: relaxed, PBE-GGA.

Summary:
Space group: Cmcm, No. 63
Fermi-level density of states: 0.384 states/eV per atom
ΔH_f (0 K): 0.061 eV per atom
Calculated volume: 203 Å³/cell

Cell lengths 4.340, 6.735, 7.339 Å; angles 90.00, 90.00, 108.80 degrees
Atoms (fractional coordinates):
1 Ga 0.604 0.207 0.446
2 Ga 0.604 0.207 0.054
3 Ga 0.396 0.793 0.554
4 Ga 0.396 0.793 0.946
5 Bi 0.231 0.463 0.250
6 Bi 0.769 0.537 0.750
7 In 0.944 0.888 0.250
8 In 0.056 0.112 0.750

(18)
RbVGaAu2: relaxed, PBE-GGA.

Summary:
Space group: P4/mmm, No. 123
Fermi-level density of states: 0.890 states/eV per atom
ΔH_f (0 K): 0.265 eV per atom
Calculated volume: 137 Å³/cell

Cell lengths 5.219, 5.034, 5.219 Å; angles 90.00, 90.00, 90.00 degrees
Site moments in Bohr magnetons follow the coordinates.
Atoms (fractional coordinates):
1 Rb 0.500 0.500 0.500  0.00
2 Ga 0.000 0.500 0.000  0.08
3 V 0.000 0.000 0.000  2.15
4 Au 0.500 0.000 0.000  0.09
5 Au 0.000 0.000 0.500  0.06

(19)
Zr2ScBiB: relaxed, PBE-GGA.

Summary:
Space group: P4/mmm, No. 123
Fermi-level density of states: 0.722 states/eV per atom
ΔH_f (0 K): -0.399 eV per atom
Calculated volume: 103 Å³/cell

Cell lengths 4.692, 4.692, 4.678 Å; angles 90.00, 90.00, 90.00 degrees
Atoms (fractional coordinates):
1 Bi 0.500 0.500 0.500
2 Zr 0.000 0.500 0.000
3 Zr 0.500 0.000 0.000
4 B 0.000 0.000 0.000
5 Sc 0.000 0.000 0.500

(20)
CsBaCa2: relaxed, PBE-GGA.

Summary:
Space group: Fm-3m, No. 225
Fermi-level density of states: 2.248 states/eV per atom
ΔH_f (0 K): 0.246 eV per atom
Calculated volume: 238 Å³/cell

Cell lengths 6.960, 6.960, 6.960 Å; angles 60.00, 60.00, 60.00 degrees
Atoms (fractional coordinates):
1 Ba 0.500 0.500 0.500
2 Ca 0.250 0.250 0.250
3 Ca 0.750 0.750 0.750
4 Cs 0.000 0.000 0.000